Compound: CsPrSeS
Source: Alexandria
Functional: GGA-PBE
Structure: relaxed Values from VASP.

Summary:
* formation energy from raw total energies: -1.7404 eV per atom
* DOS at the Fermi energy: 0.000 states/eV/atom

Cell and atoms, written as Quantum ESPRESSO input:
```
&SYSTEM
  ibrav = 0, nat = 4, ntyp = 4
/
ATOMIC_SPECIES
Cs 132.91 Cs.upf
Pr 140.91 Pr.upf
Se 78.96 Se.upf
S 32.06 S.upf
CELL_PARAMETERS angstrom
-3.8005 -1.3907 1.5658
3.6930 -1.8914 1.2716
1.9135 7.0121 4.8626
ATOMIC_POSITIONS crystal
Cs 0.9683 0.3824 0.3656
Pr 0.2974 0.5465 0.8593
Se 0.0987 0.9473 0.0613
S 0.5135 0.1545 0.6835
```